[1]
# Mn2TlPd | the Alexandria database | PBE-GGA | optimized geometry
data_Mn2TlPd
_chemical_formula_sum 'Mn8 Tl4 Pd4'
_space_group_name_H-M_alt 'I -4 2 d'
_space_group_IT_number 122
_space_group_name_Hall 'I -4 2bw'
_cell_length_a 7.402
_cell_length_b 7.402
_cell_length_c 5.532
_cell_angle_alpha 90.00
_cell_angle_beta 90.00
_cell_angle_gamma 90.00
loop_
_atom_site_label
_atom_site_type_symbol
_atom_site_fract_x
_atom_site_fract_y
_atom_site_fract_z
_atom_site_occupancy
Mn1 Mn 0.222 0.250 0.125 1
Tl1 Tl 0.000 0.000 0.500 1
Pd1 Pd 0.000 0.000 0.000 1
# Excess energy over the best structure of this formula in the dataset, meV/atom: 0.0
# VASP energy, eV per atom: -6.019
# Formation enthalpy at 0 K, eV per atom: 0.4553

[2]
# MnTl2Pd9 | the Alexandria database | PBE-GGA | optimized geometry
data_MnTl2Pd9
_chemical_formula_sum 'Mn1 Tl2 Pd9'
_space_group_name_H-M_alt 'P 4/m m m'
_space_group_IT_number 123
_space_group_name_Hall '-P 4 2'
_cell_length_a 4.031
_cell_length_b 4.031
_cell_length_c 12.079
_cell_angle_alpha 90.00
_cell_angle_beta 90.00
_cell_angle_gamma 90.00
loop_
_atom_site_label
_atom_site_type_symbol
_atom_site_fract_x
_atom_site_fract_y
_atom_site_fract_z
_atom_site_occupancy
Mn1 Mn 0.000 0.000 0.000 1
Tl1 Tl 0.000 0.000 0.330 1
Pd1 Pd 0.000 0.500 0.155 1
Pd2 Pd 0.000 0.500 0.500 1
Pd3 Pd 0.500 0.500 0.000 1
Pd4 Pd 0.500 0.500 0.327 1
# VASP energy, eV per atom: -5.249
# Formation enthalpy at 0 K, eV per atom: -0.1960